Here is a geometry-optimized ZrWAu structure from the Alexandria database. Energies are from PBE-GGA.

```
data_ZrWAu
_chemical_formula_sum 'Zr1 W1 Au1'
_cell_length_a 7.0407
_cell_length_b 7.0407
_cell_length_c 7.0407
_cell_angle_alpha 156.63
_cell_angle_beta 156.63
_cell_angle_gamma 33.29
_space_group_name_H-M_alt 'P 1'
_space_group_IT_number 1
loop_
_space_group_symop_operation_xyz
'x,y,z'
loop_
_atom_site_label
_atom_site_fract_x
_atom_site_fract_y
_atom_site_fract_z
W1 0.3382 0.3382 0.0000
Zr1 0.6672 0.6672 0.0000
Au1 0.9946 0.9946 0.0000
```

- energy above the most stable polymorph in this dataset (eV per atom) = 0.000